(1)
The following is a PBE calculation of a relaxed structure of Ca2Sn3SbRh4, from the Alexandria database.

Unit cell a=4.523 b=4.523 c=10.667 alpha=90.00 beta=90.00 gamma=90.00
Sites, in units of the cell vectors:
Ca 0.500 0.000 0.243
Ca 0.000 0.500 0.757
Sn 0.000 0.000 0.500
Sn 0.500 0.000 0.872
Sn 0.000 0.500 0.128
Sb 0.500 0.500 0.500
Rh 0.500 0.500 0.000
Rh 0.000 0.000 0.000
Rh 0.500 0.000 0.628
Rh 0.000 0.500 0.372

M_tot = 0.00 μB per cell
final energy = -5.58 eV per atom
density of states at the Fermi level = 4.3 states/eV/f.u.

(2)
The following is a PBE calculation of a relaxed structure of CaSO2F, from the Alexandria database.

Unit cell a=4.500 b=4.500 c=4.140 alpha=90.00 beta=90.00 gamma=90.00
Sites, in units of the cell vectors:
Ca 0.000 0.000 0.000
S 0.500 0.500 0.500
O 0.000 0.500 0.000
O 0.500 0.000 0.000
F 0.000 0.000 0.500

M_tot = 0.00 μB per cell
final energy = -3.97 eV per atom
density of states at the Fermi level = 7.0 states/eV/f.u.

(3)
The following is a PBE calculation of a relaxed structure of BaHoZnCd, from the Alexandria database.

Unit cell a=5.520 b=5.520 c=5.520 alpha=60.00 beta=60.00 gamma=60.00
Sites, in units of the cell vectors:
Zn 0.000 0.000 0.000
Cd 0.500 0.500 0.500
Ho 0.250 0.250 0.250
Ba 0.750 0.750 0.750

M_tot = 0.00 μB per cell
ΔE_f = -0.1201 eV per atom
density of states at the Fermi level = 2.2 states/eV/f.u.

(4)
The following is a PBE calculation of a relaxed structure of Ac2Tb4Y7, from the Alexandria database.

Unit cell a=6.214 b=6.214 c=13.485 alpha=90.00 beta=90.00 gamma=120.00
Sites, in units of the cell vectors:
Ac 0.667 0.333 0.000
Ac 0.333 0.667 0.000
Tb 0.000 0.000 0.604
Tb 0.000 0.000 0.396
Tb 0.667 0.333 0.500
Tb 0.333 0.667 0.500
Y 0.000 0.353 0.779
Y 0.000 0.647 0.221
Y 0.000 0.000 0.000
Y 0.353 0.000 0.779
Y 0.647 0.000 0.221
Y 0.353 0.353 0.221
Y 0.647 0.647 0.779

M_tot = 0.00 μB per cell
ΔE_f = 0.2202 eV per atom
density of states at the Fermi level = 21.4 states/eV/f.u.

(5)
The following is a PBE calculation of a relaxed structure of YLuBeIr, from the Alexandria database.

Unit cell a=4.798 b=4.798 c=4.798 alpha=60.00 beta=60.00 gamma=60.00
Sites, in units of the cell vectors:
Y 0.000 0.000 0.000
Be 0.250 0.250 0.250
Ir 0.750 0.750 0.750
Lu 0.500 0.500 0.500

M_tot = 0.00 μB per cell
ΔE_f = -0.4464 eV per atom
density of states at the Fermi level = 2.5 states/eV/f.u.

(6)
The following is a PBE calculation of a relaxed structure of CoTc2Ru, from the Alexandria database.

Unit cell a=3.678 b=3.678 c=9.075 alpha=78.31 beta=78.31 gamma=90.00
Sites, in units of the cell vectors:
Ru 0.000 0.000 0.000
Ru 0.750 0.250 0.500
Co 0.500 0.500 0.000
Co 0.250 0.750 0.500
Tc 0.595 0.125 0.250
Tc 0.155 0.625 0.250
Tc 0.375 0.405 0.750
Tc 0.875 0.845 0.750

relative energy among the computed polymorphs = 638 meV per atom
M_tot = 2.12 μB per cell
ΔE_f = 0.6023 eV per atom
density of states at the Fermi level = 5.1 states/eV/f.u.

- Among the records above, which one has the highest M_tot?
  CoTc2Ru

- The highest M_tot belongs to which entry?
  CoTc2Ru

Please write out number 5 again, unchanged.
The following is a PBE calculation of a relaxed structure of YLuBeIr, from the Alexandria database.

Unit cell a=4.798 b=4.798 c=4.798 alpha=60.00 beta=60.00 gamma=60.00
Sites, in units of the cell vectors:
Y 0.000 0.000 0.000
Be 0.250 0.250 0.250
Ir 0.750 0.750 0.750
Lu 0.500 0.500 0.500

M_tot = 0.00 μB per cell
ΔE_f = -0.4464 eV per atom
density of states at the Fermi level = 2.5 states/eV/f.u.